A geometry-optimized RbCaSnRu2 structure. Source: the Alexandria database, functional PBE.

**V**: 29.443 Å³ per atom
**Crystal system**: tetragonal
**E**: -3.554 eV/atom

a b c (Å): 5.056 5.056 5.758
angles (deg): 90.00 90.00 90.00
Space group P4/mmm (No. 123)
Unique sites:
Rb 0.000 0.000 0.000 [1 per cell]
Ca 0.500 0.500 0.500 [1 per cell]
Sn 0.500 0.500 0.000 [1 per cell]
Ru 0.000 0.500 0.500 [2 per cell]